A plane-wave DFT calculation with GGA-PBE was carried out for TaTl2Co after structural relaxation.

a b c (Å): 4.922 4.922 3.164
angles (deg): 90.00 90.00 90.00
Each line ends with the local moment (μB).
Positions (direct):
Co: 0.500 0.000 0.500  1.37
Ta: 0.000 0.500 0.500  -0.02
Tl: 0.000 0.000 0.000  -0.01
Tl: 0.500 0.500 0.000  -0.01

Computed properties:
Total moment   0.31 μB per atom
Density of states at the Fermi level   6.2 states/eV per cell
Space group   P4/mmm (123)
E_form   775.1 meV per atom